! Li3Pt SCAN PBEsol geometry; values from VASP
! volume = 14.552 Å³/atom
! ΔE_f = -382 meV per atom
! energy above the lowest structure with this stoichiometry = 0.1056 eV per atom
! total energy = -19.723 eV/atom
&SYSTEM
  ibrav = 0, nat = 4, ntyp = 2
/
ATOMIC_SPECIES
Li 6.94 Li.upf
Pt 195.08 Pt.upf
ATOMIC_POSITIONS crystal
Li 0.000 0.000 0.000
Li 0.500 0.500 0.291
Li 0.500 0.500 0.709
Pt 0.000 0.000 0.500
CELL_PARAMETERS angstrom
3.011 0.000 0.000
0.000 3.011 0.000
0.000 0.000 6.422